Record 1
VASP calculation (PBE-GGA) on crystalline CdHgMo2 at its relaxed geometry.

Unit cell a=3.220 b=4.832 c=9.768 alpha=90.00 beta=90.00 gamma=90.00
Atoms (fractional coordinates):
Cd  0.000  0.000  0.000
Cd  0.500  0.500  0.000
Hg  0.000  0.500  0.715
Hg  0.500  0.000  0.715
Mo  0.000  0.000  0.456
Mo  0.000  0.500  0.256
Mo  0.500  0.000  0.256
Mo  0.500  0.500  0.456

The space group is No. 35. Its energy relative to the lowest polymorph listed for this composition is 0.0 kJ/mol of atoms. The formation energy is 1.2 eV per formula unit.

---

Record 2
VASP calculation (PBE-GGA) on crystalline NaErInIr at its relaxed geometry.

Unit cell a=6.876 b=6.876 c=6.876 alpha=90.00 beta=90.00 gamma=90.00
Atoms (fractional coordinates):
Na  0.000  0.000  0.000
Na  0.000  0.500  0.500
Na  0.500  0.000  0.500
Na  0.500  0.500  0.000
Er  0.250  0.250  0.250
Er  0.250  0.750  0.750
Er  0.750  0.250  0.750
Er  0.750  0.750  0.250
In  0.250  0.250  0.750
In  0.250  0.750  0.250
In  0.750  0.250  0.250
In  0.750  0.750  0.750
Ir  0.000  0.000  0.500
Ir  0.000  0.500  0.000
Ir  0.500  0.000  0.000
Ir  0.500  0.500  0.500

The space group is No. 216. The formation energy is -1.2 eV per formula unit.

---

Record 3
VASP calculation (PBE-GGA) on crystalline La3ZnGa2 at its relaxed geometry.

Unit cell a=3.732 b=3.732 c=11.508 alpha=90.00 beta=90.00 gamma=90.00
Atoms (fractional coordinates):
La  0.000  0.000  0.000
La  0.000  0.000  0.333
La  0.000  0.000  0.667
Zn  0.500  0.500  0.500
Ga  0.500  0.500  0.171
Ga  0.500  0.500  0.829

The space group is No. 123. Its energy relative to the lowest polymorph listed for this composition is 0.6 kJ/mol of atoms. The formation energy is -2.9 eV per formula unit.

---

Record 4
VASP calculation (PBE-GGA) on crystalline SrGeAs3 at its relaxed geometry.

Unit cell a=5.538 b=5.538 c=5.538 alpha=90.00 beta=90.00 gamma=90.00
Atoms (fractional coordinates):
Sr  0.000  0.000  0.000
Ge  0.500  0.500  0.500
As  0.000  0.000  0.500
As  0.000  0.500  0.000
As  0.500  0.000  0.000

The space group is No. 221. Its energy relative to the lowest polymorph listed for this composition is 105.9 kJ/mol of atoms. The formation energy is 5.6 eV per formula unit.